Cu2C3: relaxed, PBE-GGA.

The structure in CIF format:
```
data_Cu2C3
_cell_length_a 2.5327
_cell_length_b 2.5327
_cell_length_c 9.9203
_cell_angle_alpha 90.00
_cell_angle_beta 90.00
_cell_angle_gamma 120.00
_space_group_name_H-M_alt 'P -3 m 1'
_space_group_IT_number 164
_space_group_name_Hall '-P 3 2"'
loop_
_atom_site_label
_atom_site_type_symbol
_atom_site_fract_x
_atom_site_fract_y
_atom_site_fract_z
_atom_site_occupancy
Cu1 Cu 0.3333 0.6667 0.3574 1
C1 C 0.0000 0.0000 0.5000 1
C2 C 0.3333 0.6667 0.0000 1
```

Final energy ... -6.27 eV/atom
Volume ... 11.022 Å³/atom
Relative energy among the computed polymorphs ... 0 meV per atom
Energy of formation ... 0.900 eV/atom
Crystal system ... trigonal